{
  "formula": "ZnGeSb2",
  "functional": "GGA-PBE",
  "state": "relaxed",
  "lattice": [[-1.064, 1.202, -3.198], [-2.768, -1.543, -1.661], [-7.271, 6.016, 2.679]],
  "species": ["Sb", "Sb", "Ge", "Zn"],
  "frac_coords": [[0.096, 0.096, 0.712], [0.904, 0.904, 0.288], [0.500, 0.500, 0.500], [0.000, 0.000, 0.000]],
  "energy_ev_per_atom": -3.18,
  "rho_g_cm3": 5.960,
  "crystal_system": "trigonal"
}